# CoAsOs2F | the Alexandria database | GGA+U | relaxed
# Volume   14.78 Å³/atom
# Energy   -27.51 eV/cell
# Mass density   11.983 g cm⁻³
data_CoAsOs2F
_chemical_formula_sum 'Co1 As1 Os2 F1'
_cell_length_a 4.3493
_cell_length_b 3.9069
_cell_length_c 4.3493
_cell_angle_alpha 90.00
_cell_angle_beta 90.00
_cell_angle_gamma 90.00
_symmetry_space_group_name_H-M 'P 1'
_symmetry_Int_Tables_number 1
_symmetry_space_group_name_Hall 'P 1'
loop_
_atom_site_label
_atom_site_type_symbol
_atom_site_fract_x
_atom_site_fract_y
_atom_site_fract_z
_atom_site_occupancy
Os1 Os 0.0000 0.0000 0.5000 1
Os2 Os 0.5000 0.0000 0.0000 1
Co1 Co 0.0000 0.5000 0.0000 1
As1 As 0.5000 0.5000 0.5000 1
F1 F 0.0000 0.0000 0.0000 1